{"formula": "Hf2CuTcNi", "functional": "PBE", "state": "relaxed", "cell": [[4.768, 0.000, 0.000], [0.000, 4.768, 0.000], [0.000, 0.000, 4.104]], "species": ["Hf", "Hf", "Cu", "Tc", "Ni"], "frac_coords": [[0.000, 0.500, 0.000], [0.500, 0.000, 0.000], [0.000, 0.000, 0.000], [0.500, 0.500, 0.500], [0.000, 0.000, 0.500]], "delta_e_f_ev_per_fu": 3.75, "energy_ev_per_cell": -36.40, "magnetic_moment_mub_per_cell": 0.00}

=====

{"formula": "Cs3GaPb", "functional": "PBE", "state": "relaxed", "cell": [[6.969, 0.000, 0.000], [0.000, 6.969, 0.000], [0.000, 0.000, 6.969]], "species": ["Cs", "Cs", "Cs", "Ga", "Pb"], "frac_coords": [[0.000, 0.000, 0.500], [0.000, 0.500, 0.000], [0.500, 0.000, 0.000], [0.000, 0.000, 0.000], [0.500, 0.500, 0.500]], "delta_e_f_ev_per_fu": 1.71, "energy_ev_per_cell": -7.58, "magnetic_moment_mub_per_cell": 1.97}

=====

{"formula": "CsHg3Pt", "functional": "PBE", "state": "relaxed", "cell": [[9.299, 0.000, 0.000], [0.000, 7.153, 0.000], [-3.517, 0.000, 9.789]], "species": ["Cs", "Cs", "Cs", "Cs", "Hg", "Hg", "Hg", "Hg", "Hg", "Hg", "Hg", "Hg", "Hg", "Hg", "Hg", "Hg", "Pt", "Pt", "Pt", "Pt"], "frac_coords": [[0.130, 0.090, 0.224], [0.130, 0.410, 0.724], [0.870, 0.590, 0.276], [0.870, 0.910, 0.776], [0.187, 0.606, 0.091], [0.187, 0.894, 0.591], [0.320, 0.006, 0.938], [0.320, 0.494, 0.438], [0.498, 0.661, 0.791], [0.498, 0.839, 0.291], [0.502, 0.161, 0.709], [0.502, 0.339, 0.209], [0.680, 0.506, 0.562], [0.680, 0.994, 0.062], [0.813, 0.106, 0.409], [0.813, 0.394, 0.909], [0.477, 0.666, 0.054], [0.477, 0.834, 0.554], [0.523, 0.166, 0.446], [0.523, 0.334, 0.946]], "delta_e_f_ev_per_fu": -0.94, "energy_ev_per_cell": -34.95, "magnetic_moment_mub_per_cell": 0.00}

=====

{"formula": "TbBe2Fe2C", "functional": "PBE", "state": "relaxed", "cell": [[3.742, 0.000, 0.000], [0.000, 3.742, 0.000], [0.000, 0.000, 5.072]], "species": ["Tb", "Be", "Be", "Fe", "Fe", "C"], "frac_coords": [[0.000, 0.000, 0.000], [0.500, 0.500, 0.245], [0.500, 0.500, 0.755], [0.000, 0.500, 0.500], [0.500, 0.000, 0.500], [0.000, 0.000, 0.500]], "delta_e_f_ev_per_fu": -1.42, "energy_ev_per_cell": -39.66, "magnetic_moment_mub_per_cell": 0.00}

=====

{"formula": "Pm4Tm4In", "functional": "PBE", "state": "relaxed", "cell": [[-5.325, 5.325, 2.455], [5.325, -5.325, 2.455], [5.325, 5.325, -2.455]], "species": ["Pm", "Pm", "Pm", "Pm", "Tm", "Tm", "Tm", "Tm", "In"], "frac_coords": [[0.162, 0.162, 0.324], [0.162, 0.838, 0.000], [0.838, 0.162, 0.000], [0.838, 0.838, 0.676], [0.164, 0.500, 0.664], [0.500, 0.164, 0.664], [0.500, 0.836, 0.336], [0.836, 0.500, 0.336], [0.500, 0.500, 0.000]], "delta_e_f_ev_per_fu": -0.62, "energy_ev_per_cell": -40.25, "magnetic_moment_mub_per_cell": 0.00}

=====

{"formula": "CeHo6Er2", "functional": "PBE", "state": "relaxed", "cell": [[3.610, 2.084, 6.268], [-3.610, 2.084, 6.268], [0.000, -4.169, 6.268]], "species": ["Ce", "Ho", "Ho", "Ho", "Ho", "Ho", "Ho", "Er", "Er"], "frac_coords": [[0.000, 0.000, 0.000], [0.058, 0.058, 0.541], [0.058, 0.541, 0.058], [0.265, 0.265, 0.710], [0.265, 0.710, 0.265], [0.541, 0.058, 0.058], [0.710, 0.265, 0.265], [0.562, 0.562, 0.562], [0.739, 0.739, 0.739]], "delta_e_f_ev_per_fu": 2.80, "energy_ev_per_cell": -39.72, "magnetic_moment_mub_per_cell": 0.00}

=====

{"formula": "PdF4", "functional": "PBE", "state": "relaxed", "cell": [[0.000, 4.759, 3.022], [4.690, 0.000, 3.022], [4.690, 4.759, 0.000]], "species": ["Pd", "Pd", "F", "F", "F", "F", "F", "F", "F", "F"], "frac_coords": [[0.000, 0.000, 0.000], [0.250, 0.250, 0.250], [0.005, 0.982, 0.303], [0.008, 0.418, 0.799], [0.418, 0.008, 0.775], [0.451, 0.475, 0.242], [0.475, 0.451, 0.832], [0.540, 0.947, 0.268], [0.947, 0.540, 0.245], [0.982, 0.005, 0.710]], "energy_ev_per_cell": -36.84, "magnetic_moment_mub_per_cell": 0.00, "formation_energy_uncorrected_ev_per_atom": -1.15}

=====

{"formula": "Hf2TiSb", "functional": "PBE", "state": "relaxed", "cell": [[3.244, 0.000, 0.000], [-1.622, 2.810, 0.000], [0.000, 0.000, 28.379]], "species": ["Hf", "Hf", "Hf", "Hf", "Hf", "Hf", "Ti", "Ti", "Ti", "Sb", "Sb", "Sb"], "frac_coords": [[0.000, 0.000, 0.000], [0.000, 0.000, 0.161], [0.333, 0.667, 0.667], [0.333, 0.667, 0.828], [0.667, 0.333, 0.333], [0.667, 0.333, 0.495], [0.000, 0.000, 0.747], [0.333, 0.667, 0.414], [0.667, 0.333, 0.081], [0.000, 0.000, 0.580], [0.333, 0.667, 0.247], [0.667, 0.333, 0.914]], "energy_ev_per_cell": -96.16, "magnetic_moment_mub_per_cell": 0.00, "formation_energy_uncorrected_ev_per_atom": -0.03}

=====

{"formula": "Tl4SbP", "functional": "PBE", "state": "relaxed", "cell": [[0.000, 4.490, 4.490], [4.490, 0.000, 4.490], [4.490, 4.490, 0.000]], "species": ["Tl", "Tl", "Tl", "Tl", "Sb", "P"], "frac_coords": [[0.125, 0.125, 0.125], [0.125, 0.125, 0.626], [0.125, 0.626, 0.125], [0.626, 0.125, 0.125], [0.500, 0.500, 0.500], [0.750, 0.750, 0.750]], "energy_ev_per_cell": -15.99, "magnetic_moment_mub_per_cell": 0.00, "formation_energy_uncorrected_ev_per_atom": 0.50}

=====

{"formula": "Sc4CoRh2Au", "functional": "PBE", "state": "relaxed", "cell": [[2.302, 1.329, 7.499], [-2.302, 1.329, 7.499], [0.000, -2.658, 7.499]], "species": ["Sc", "Sc", "Sc", "Sc", "Co", "Rh", "Rh", "Au"], "frac_coords": [[0.119, 0.119, 0.119], [0.371, 0.371, 0.371], [0.629, 0.629, 0.629], [0.881, 0.881, 0.881], [0.000, 0.000, 0.000], [0.251, 0.251, 0.251], [0.749, 0.749, 0.749], [0.500, 0.500, 0.500]], "delta_e_f_ev_per_fu": -6.08, "energy_ev_per_cell": -56.50, "magnetic_moment_mub_per_cell": 0.00}

=====

{"formula": "K2MgSnCl6", "functional": "PBE", "state": "relaxed", "cell": [[7.241, 0.000, 0.000], [0.000, 7.523, 0.000], [-7.190, 0.000, 10.393]], "species": ["K", "K", "K", "K", "Mg", "Mg", "Sn", "Sn", "Cl", "Cl", "Cl", "Cl", "Cl", "Cl", "Cl", "Cl", "Cl", "Cl", "Cl", "Cl"], "frac_coords": [[0.228, 0.066, 0.248], [0.228, 0.434, 0.748], [0.772, 0.566, 0.252], [0.772, 0.934, 0.752], [0.000, 0.000, 0.500], [0.000, 0.500, 0.000], [0.500, 0.000, 0.000], [0.500, 0.500, 0.500], [0.134, 0.217, 0.950], [0.134, 0.283, 0.450], [0.238, 0.688, 0.953], [0.238, 0.812, 0.453], [0.328, 0.023, 0.734], [0.328, 0.477, 0.234], [0.672, 0.523, 0.766], [0.672, 0.977, 0.266], [0.762, 0.188, 0.547], [0.762, 0.312, 0.047], [0.866, 0.717, 0.550], [0.866, 0.783, 0.050]], "energy_ev_per_cell": -70.70, "magnetic_moment_mub_per_cell": 0.00, "formation_energy_uncorrected_ev_per_atom": -1.65}

=====

{"formula": "PrPuRhBr", "functional": "PBE", "state": "relaxed", "cell": [[4.008, 0.000, 0.000], [-2.004, 3.471, 0.000], [0.000, 0.000, 24.009]], "species": ["Pr", "Pr", "Pr", "Pu", "Pu", "Pu", "Rh", "Rh", "Rh", "Br", "Br", "Br"], "frac_coords": [[0.000, 0.000, 0.000], [0.333, 0.667, 0.667], [0.667, 0.333, 0.333], [0.000, 0.000, 0.800], [0.333, 0.667, 0.467], [0.667, 0.333, 0.133], [0.000, 0.000, 0.406], [0.333, 0.667, 0.073], [0.667, 0.333, 0.739], [0.000, 0.000, 0.235], [0.333, 0.667, 0.902], [0.667, 0.333, 0.569]], "energy_ev_per_cell": -94.48, "magnetic_moment_mub_per_cell": 15.73, "formation_energy_uncorrected_ev_per_atom": -0.84}

=====

{"formula": "K2AlCd", "functional": "PBE", "state": "relaxed", "cell": [[8.428, 0.000, 0.000], [0.000, 8.428, 0.000], [0.000, 0.000, 8.428]], "species": ["K", "K", "K", "K", "K", "K", "K", "K", "Al", "Al", "Al", "Al", "Cd", "Cd", "Cd", "Cd"], "frac_coords": [[0.250, 0.250, 0.250], [0.250, 0.250, 0.750], [0.250, 0.750, 0.250], [0.250, 0.750, 0.750], [0.750, 0.250, 0.250], [0.750, 0.250, 0.750], [0.750, 0.750, 0.250], [0.750, 0.750, 0.750], [0.000, 0.000, 0.000], [0.000, 0.500, 0.500], [0.500, 0.000, 0.500], [0.500, 0.500, 0.000], [0.000, 0.000, 0.500], [0.000, 0.500, 0.000], [0.500, 0.000, 0.000], [0.500, 0.500, 0.500]], "delta_e_f_ev_per_fu": 1.27, "energy_ev_per_cell": -22.33, "magnetic_moment_mub_per_cell": 3.11}

=====

{"formula": "TiGa2Cu2", "functional": "PBE", "state": "relaxed", "cell": [[3.653, 0.000, 0.000], [0.000, 3.653, 0.000], [0.000, 0.000, 11.216]], "species": ["Ti", "Ti", "Ga", "Ga", "Ga", "Ga", "Cu", "Cu", "Cu", "Cu"], "frac_coords": [[0.000, 0.000, 0.000], [0.500, 0.500, 0.500], [0.000, 0.000, 0.394], [0.000, 0.000, 0.606], [0.500, 0.500, 0.106], [0.500, 0.500, 0.894], [0.000, 0.500, 0.250], [0.000, 0.500, 0.750], [0.500, 0.000, 0.250], [0.500, 0.000, 0.750]], "delta_e_f_ev_per_fu": -0.66, "energy_ev_per_cell": -45.61, "magnetic_moment_mub_per_cell": 0.00}

=====

{"formula": "SiSb2Pt", "functional": "PBE", "state": "relaxed", "cell": [[6.943, 0.000, 0.000], [0.000, 6.943, 0.000], [0.000, 0.000, 6.943]], "species": ["Si", "Si", "Si", "Si", "Sb", "Sb", "Sb", "Sb", "Sb", "Sb", "Sb", "Sb", "Pt", "Pt", "Pt", "Pt"], "frac_coords": [[0.000, 0.000, 0.000], [0.000, 0.500, 0.500], [0.500, 0.000, 0.500], [0.500, 0.500, 0.000], [0.000, 0.000, 0.500], [0.000, 0.500, 0.000], [0.250, 0.250, 0.750], [0.250, 0.750, 0.250], [0.500, 0.000, 0.000], [0.500, 0.500, 0.500], [0.750, 0.250, 0.250], [0.750, 0.750, 0.750], [0.250, 0.250, 0.250], [0.250, 0.750, 0.750], [0.750, 0.250, 0.750], [0.750, 0.750, 0.250]], "energy_ev_per_cell": -72.71, "magnetic_moment_mub_per_cell": 0.00, "formation_energy_uncorrected_ev_per_atom": 0.38}

=====

{"formula": "Cu2As2Ru", "functional": "PBE", "state": "relaxed", "cell": [[3.260, 0.000, 0.000], [0.000, 3.260, 0.000], [0.000, 0.000, 14.444]], "species": ["Cu", "Cu", "Cu", "Cu", "As", "As", "As", "As", "Ru", "Ru"], "frac_coords": [[0.000, 0.500, 0.250], [0.000, 0.500, 0.750], [0.500, 0.000, 0.250], [0.500, 0.000, 0.750], [0.000, 0.000, 0.101], [0.000, 0.000, 0.899], [0.500, 0.500, 0.399], [0.500, 0.500, 0.601], [0.000, 0.000, 0.500], [0.500, 0.500, 0.000]], "delta_e_f_ev_per_fu": 1.27, "energy_ev_per_cell": -51.00, "magnetic_moment_mub_per_cell": 1.43}

=====

{"formula": "Cu2ReAu", "functional": "PBE", "state": "relaxed", "cell": [[2.643, 0.000, 0.000], [0.000, 3.942, 0.000], [0.000, 0.000, 5.525]], "species": ["Cu", "Cu", "Re", "Au"], "frac_coords": [[0.000, 0.000, 0.000], [0.500, 0.500, 0.245], [0.000, 0.000, 0.469], [0.500, 0.500, 0.748]], "delta_e_f_ev_per_fu": 1.56, "energy_ev_per_cell": -22.36, "magnetic_moment_mub_per_cell": 0.00}

=====

{"formula": "RbMn3Au", "functional": "PBE", "state": "relaxed", "cell": [[4.842, 0.000, 0.000], [0.000, 4.842, 0.000], [0.000, 0.000, 4.842]], "species": ["Rb", "Mn", "Mn", "Mn", "Au"], "frac_coords": [[0.000, 0.000, 0.000], [0.000, 0.000, 0.500], [0.000, 0.500, 0.000], [0.500, 0.000, 0.000], [0.500, 0.500, 0.500]], "delta_e_f_ev_per_fu": 11.35, "energy_ev_per_cell": -20.41, "magnetic_moment_mub_per_cell": 11.39}

=====

{"formula": "NdSc2Pa", "functional": "PBE", "state": "relaxed", "cell": [[3.353, 0.000, 0.000], [-1.676, 2.904, 0.000], [0.000, 0.000, 32.777]], "species": ["Nd", "Nd", "Nd", "Sc", "Sc", "Sc", "Sc", "Sc", "Sc", "Pa", "Pa", "Pa"], "frac_coords": [[0.000, 0.000, 0.000], [0.333, 0.667, 0.667], [0.667, 0.333, 0.333], [0.000, 0.000, 0.244], [0.000, 0.000, 0.756], [0.333, 0.667, 0.422], [0.333, 0.667, 0.911], [0.667, 0.333, 0.089], [0.667, 0.333, 0.578], [0.000, 0.000, 0.500], [0.333, 0.667, 0.167], [0.667, 0.333, 0.833]], "delta_e_f_ev_per_fu": 0.38, "energy_ev_per_cell": -79.63, "magnetic_moment_mub_per_cell": 0.00}

=====

{"formula": "Tb3PmGa", "functional": "PBE", "state": "relaxed", "cell": [[5.978, -4.460, 0.000], [5.978, 4.460, 0.000], [-4.908, 0.000, 5.979]], "species": ["Tb", "Tb", "Tb", "Tb", "Tb", "Tb", "Pm", "Pm", "Ga", "Ga"], "frac_coords": [[0.019, 0.404, 0.748], [0.068, 0.068, 0.267], [0.404, 0.019, 0.748], [0.596, 0.981, 0.252], [0.932, 0.932, 0.733], [0.981, 0.596, 0.252], [0.445, 0.445, 0.674], [0.555, 0.555, 0.326], [0.241, 0.241, 0.107], [0.759, 0.759, 0.893]], "delta_e_f_ev_per_fu": -0.35, "energy_ev_per_cell": -44.04, "magnetic_moment_mub_per_cell": 0.00}

=====

{"formula": "Pr2Co12P7", "functional": "PBE", "state": "relaxed", "cell": [[9.099, 0.000, 0.000], [-4.550, 7.880, 0.000], [0.000, 0.000, 3.642]], "species": ["Pr", "Pr", "Co", "Co", "Co", "Co", "Co", "Co", "Co", "Co", "Co", "Co", "Co", "Co", "P", "P", "P", "P", "P", "P", "P"], "frac_coords": [[0.000, 0.000, 0.000], [0.333, 0.667, 0.500], [0.047, 0.764, 0.500], [0.098, 0.391, 0.000], [0.236, 0.283, 0.500], [0.293, 0.902, 0.000], [0.397, 0.214, 0.000], [0.540, 0.105, 0.500], [0.566, 0.460, 0.500], [0.609, 0.707, 0.000], [0.717, 0.953, 0.500], [0.786, 0.183, 0.000], [0.817, 0.603, 0.000], [0.895, 0.434, 0.500], [0.068, 0.628, 0.000], [0.270, 0.041, 0.500], [0.372, 0.440, 0.000], [0.560, 0.932, 0.000], [0.667, 0.333, 0.000], [0.771, 0.730, 0.500], [0.959, 0.229, 0.500]], "delta_e_f_ev_per_fu": -15.28, "energy_ev_per_cell": -147.98, "magnetic_moment_mub_per_cell": 5.39}

=====

{"formula": "U2PdS4", "functional": "PBE", "state": "relaxed", "cell": [[6.902, 0.000, 0.000], [0.000, 10.113, 0.000], [0.000, 0.000, 4.121]], "species": ["U", "U", "U", "U", "Pd", "Pd", "S", "S", "S", "S", "S", "S", "S", "S"], "frac_coords": [[0.116, 0.197, 0.000], [0.384, 0.697, 0.000], [0.616, 0.303, 0.000], [0.884, 0.803, 0.000], [0.000, 0.500, 0.500], [0.500, 0.000, 0.500], [0.115, 0.721, 0.500], [0.231, 0.947, 0.000], [0.269, 0.447, 0.000], [0.385, 0.221, 0.500], [0.615, 0.779, 0.500], [0.731, 0.553, 0.000], [0.769, 0.053, 0.000], [0.885, 0.279, 0.500]], "energy_ev_per_cell": -103.45, "magnetic_moment_mub_per_cell": 7.93, "formation_energy_uncorrected_ev_per_atom": -1.06}

=====

{"formula": "Y4ScAu2", "functional": "PBE", "state": "relaxed", "cell": [[2.601, 1.502, 8.595], [-2.601, 1.502, 8.595], [0.000, -3.004, 8.595]], "species": ["Y", "Y", "Y", "Y", "Sc", "Au", "Au"], "frac_coords": [[0.122, 0.122, 0.122], [0.286, 0.286, 0.286], [0.714, 0.714, 0.714], [0.878, 0.878, 0.878], [0.500, 0.500, 0.500], [0.398, 0.398, 0.398], [0.602, 0.602, 0.602]], "delta_e_f_ev_per_fu": -1.97, "energy_ev_per_cell": -40.72, "magnetic_moment_mub_per_cell": 0.00}

=====

{"formula": "Li3In", "functional": "PBE", "state": "relaxed", "cell": [[3.205, 0.000, 0.000], [-1.602, 2.775, 0.000], [0.000, 0.000, 9.599]], "species": ["Li", "Li", "Li", "In"], "frac_coords": [[0.000, 0.000, 0.000], [0.667, 0.333, 0.257], [0.667, 0.333, 0.743], [0.000, 0.000, 0.500]], "delta_e_f_ev_per_fu": -0.32, "energy_ev_per_cell": -8.80, "magnetic_moment_mub_per_cell": 0.00}